Entry 1:
# PBE K2HoHfTe4, relaxed
data_K2HoHfTe4
_cell_length_a 7.508
_cell_length_b 4.297
_cell_length_c 8.659
_cell_angle_alpha 90.00
_cell_angle_beta 106.51
_cell_angle_gamma 90.00
_space_group_name_H-M_alt 'P 1 2/m 1'
_space_group_IT_number 10
loop_
_space_group_symop_operation_xyz
'x,y,z'
'-x,-y,-z'
'-x,y,-z'
'x,-y,z'
loop_
_atom_site_label
_atom_site_fract_x
_atom_site_fract_y
_atom_site_fract_z
K1 0.000 0.000 0.000
K2 0.500 0.500 0.000
Ho1 0.000 0.500 0.500
Hf1 0.500 0.000 0.500
Te1 0.248 0.000 0.707
Te2 0.278 0.500 0.298
# * calculated total energy: -4.775 eV/atom
# * energy relative to the elements, uncorrected: -1.11 eV/atom
# * crystal system: monoclinic

Entry 2:
# PBE K4Ho3HfTe8, relaxed
data_K4Ho3HfTe8
_cell_length_a 8.7943
_cell_length_b 8.7943
_cell_length_c 24.8028
_cell_angle_alpha 90.00
_cell_angle_beta 90.00
_cell_angle_gamma 120.00
_space_group_name_H-M_alt 'R -3 m'
_space_group_IT_number 166
_space_group_name_Hall '-R 3 2"'
loop_
_atom_site_label
_atom_site_fract_x
_atom_site_fract_y
_atom_site_fract_z
K1 0.0000 0.0000 0.0000
K2 0.0000 0.5000 0.0000
Ho1 0.0000 0.5000 0.5000
Hf1 0.0000 0.0000 0.5000
Te1 0.0000 0.0000 0.2369
Te2 0.0131 0.5065 0.2349
# * calculated total energy: -4.571 eV/atom
# * energy relative to the elements, uncorrected: -1.25 eV/atom
# * crystal system: trigonal

Entry 3:
# PBE K2HoHf2Te6, relaxed
data_K2HoHf2Te6
_cell_length_a 7.240
_cell_length_b 12.597
_cell_length_c 8.852
_cell_angle_alpha 90.00
_cell_angle_beta 105.22
_cell_angle_gamma 90.00
_space_group_name_H-M_alt 'C 1 2/m 1'
_space_group_IT_number 12
loop_
_space_group_symop_operation_xyz
'x,y,z'
'-x,-y,-z'
'-x,y,-z'
'x,-y,z'
'x+1/2,y+1/2,z'
'-x+1/2,-y+1/2,-z'
'-x+1/2,y+1/2,-z'
'x+1/2,-y+1/2,z'
loop_
_atom_site_label
_atom_site_fract_x
_atom_site_fract_y
_atom_site_fract_z
K1 0.000 0.161 0.000
Ho1 0.000 0.000 0.500
Hf1 0.000 0.332 0.500
Te1 0.213 0.500 0.701
Te2 0.239 0.173 0.702
# * calculated total energy: -5.195 eV/atom
# * energy relative to the elements, uncorrected: -1.06 eV/atom
# * crystal system: monoclinic

Entry 4:
# PBE K3Ho2HfTe6, relaxed
data_K3Ho2HfTe6
_cell_length_a 7.563
_cell_length_b 13.102
_cell_length_c 8.661
_cell_angle_alpha 90.00
_cell_angle_beta 106.96
_cell_angle_gamma 90.00
_space_group_name_H-M_alt 'C 1 2/m 1'
_space_group_IT_number 12
loop_
_space_group_symop_operation_xyz
'x,y,z'
'-x,-y,-z'
'-x,y,-z'
'x,-y,z'
'x+1/2,y+1/2,z'
'-x+1/2,-y+1/2,-z'
'-x+1/2,y+1/2,-z'
'x+1/2,-y+1/2,z'
loop_
_atom_site_label
_atom_site_fract_x
_atom_site_fract_y
_atom_site_fract_z
K1 0.000 0.000 0.000
K2 0.000 0.329 0.000
Ho1 0.000 0.166 0.500
Hf1 0.000 0.500 0.500
Te1 0.228 0.340 0.705
Te2 0.250 0.000 0.707
# * calculated total energy: -4.636 eV/atom
# * energy relative to the elements, uncorrected: -1.20 eV/atom
# * crystal system: monoclinic

Entry 5:
# PBE LaHo2Hf, relaxed
data_LaHo2Hf
_cell_length_a 3.4479
_cell_length_b 3.4479
_cell_length_c 34.3183
_cell_angle_alpha 90.00
_cell_angle_beta 90.00
_cell_angle_gamma 120.00
_space_group_name_H-M_alt 'R 3 m'
_space_group_IT_number 160
_space_group_name_Hall 'R 3 -2"'
loop_
_atom_site_label
_atom_site_fract_x
_atom_site_fract_y
_atom_site_fract_z
La1 0.0000 0.0000 0.0000
Ho1 0.0000 0.0000 0.2425
Ho2 0.0000 0.0000 0.4249
Hf1 0.0000 0.0000 0.8340
# * calculated total energy: -5.889 eV/atom
# * E_form: 0.12 eV per atom
# * crystal system: trigonal
# * distance to the lowest polymorph of the same formula: 0 meV/atom

Entry 6:
# PBE LaHo2Hf, relaxed
data_LaHo2Hf
_cell_length_a 3.3586
_cell_length_b 3.3586
_cell_length_c 36.3566
_cell_angle_alpha 90.00
_cell_angle_beta 90.00
_cell_angle_gamma 120.00
_space_group_name_H-M_alt 'R -3 m'
_space_group_IT_number 166
_space_group_name_Hall '-R 3 2"'
loop_
_atom_site_label
_atom_site_fract_x
_atom_site_fract_y
_atom_site_fract_z
La1 0.0000 0.0000 0.0000
Ho1 0.0000 0.0000 0.4149
Hf1 0.0000 0.0000 0.5000
# * calculated total energy: -5.616 eV/atom
# * E_form: 0.39 eV per atom
# * crystal system: trigonal
# * distance to the lowest polymorph of the same formula: 273 meV/atom